Compound: LiMn4Au
Source: Alexandria via LeMat-Bulk
Functional: PBE
Structure: relaxed

a = 4.7760 Å, b = 4.7760 Å, c = 4.7760 Å
α = 60.00°, β = 60.00°, γ = 60.00°
Last column: nearest neighbours and their distance in Å.
Element x y z (fractional)
Li 0.0000 0.0000 0.0000  12 Mn 2.80, 4 Au 2.92
Mn 0.8781 0.3740 0.3740  6 Mn 2.37-2.41
Mn 0.3740 0.3740 0.8781  6 Mn 2.37-2.41
Mn 0.3740 0.8781 0.3740  6 Mn 2.37-2.41
Mn 0.3740 0.3740 0.3740  6 Mn 2.37-2.41
Au 0.7500 0.7500 0.7500  12 Mn 2.80, 4 Li 2.92

Energy relative to the elements (kJ/mol of atoms): 31.8
Calculated total energy (eV/atom): -6.6483
Magnetic moment (μB/f.u.): 5.2